Entry A
The following is a DFT calculation (PBE) of a relaxed YAl2Re crystal.

a = 6.592 Å, b = 6.592 Å, c = 6.592 Å
α = 90.00°, β = 90.00°, γ = 90.00°
Space group F-43m (No. 216)
Symmetry-distinct sites (fractional):
1 Y 0.000 0.000 0.000 [4 per cell]
2 Al 0.000 0.000 0.500 [4 per cell]
3 Al 0.250 0.250 0.250 [4 per cell]
4 Re 0.250 0.250 0.750 [4 per cell]


Entry B
The following is a DFT calculation (PBE) of a relaxed YAl2Re crystal.

a = 4.013 Å, b = 3.405 Å, c = 10.756 Å
α = 90.00°, β = 90.00°, γ = 90.00°
Space group Amm2 (No. 38)
Symmetry-distinct sites (fractional):
1 Y 0.000 0.000 0.000 [2 per cell]
2 Al 0.000 0.000 0.746 [2 per cell]
3 Al 0.500 0.000 0.612 [2 per cell]
4 Re 0.500 0.000 0.315 [2 per cell]


Entry C
The following is a DFT calculation (PBE) of a relaxed YAl2Re crystal.

a = 3.0387 Å, b = 3.0387 Å, c = 28.2048 Å
α = 90.00°, β = 90.00°, γ = 120.00°
Space group R-3m (No. 166, hexagonal axes)
Symmetry-distinct sites (fractional):
1 Y 0.0000 0.0000 0.0000 [3 per cell]
2 Al 0.0000 0.0000 0.2367 [6 per cell]
3 Re 0.0000 0.0000 0.5000 [3 per cell]


Most stable: entry B. Least stable: entry C.